LiGeNO2 | PBE | optimized geometry

Geometry as POSCAR:
```
LiGeNO2
1.0
3.777 0.000 0.000
0.000 3.777 0.000
0.000 0.000 3.830
O N Ge Li
2 1 1 1
Direct
0.500 0.000 0.000
0.000 0.500 0.000
0.000 0.000 0.500
0.000 0.000 0.000
0.500 0.500 0.500
```

Symmetry: P4/mmm
Energy relative to the elements, uncorrected (eV/atom): -0.428
D(E_F) (states/eV/cell): 0.976
Spin magnetization (μB/cell): 2.0


LiGeNO | PBE | optimized geometry

Geometry as POSCAR:
```
LiGeNO
1.0
-0.587 2.668 1.470
-2.325 -1.933 -0.693
1.803 -3.577 3.943
O Li N Ge
1 1 1 1
Direct
0.225 0.996 0.222
0.466 0.617 0.082
0.196 0.482 0.678
0.443 0.106 0.548
```

Symmetry: R3m
Energy relative to the elements, uncorrected (eV/atom): -1.121
D(E_F) (states/eV/cell): 0.000
Spin magnetization (μB/cell): 0.0


LiGeNO2 | PBE | optimized geometry

Geometry as POSCAR:
```
LiGeNO2
1.0
3.726 0.000 0.000
0.000 3.726 0.000
0.000 0.000 3.891
Ge O Li N
1 2 1 1
Direct
0.500 0.500 0.500
0.500 0.000 0.000
0.000 0.500 0.000
0.000 0.000 0.000
0.000 0.000 0.500
```

Symmetry: P4/mmm
Energy relative to the elements, uncorrected (eV/atom): 0.559
D(E_F) (states/eV/cell): 1.324
Spin magnetization (μB/cell): 4.0


Li3Pa3GeN8 | PBE | optimized geometry

Geometry as POSCAR:
```
Li3Pa3GeN8
1.0
-2.470 5.269 -3.364
-2.663 -6.321 -1.229
-0.954 2.962 5.340
Pa N Li Ge
3 8 3 1
Direct
0.500 0.500 0.500
0.000 0.500 0.500
0.500 0.000 0.500
0.213 0.983 0.708
0.270 0.541 0.287
0.787 0.017 0.292
0.730 0.459 0.713
0.770 0.983 0.708
0.753 0.505 0.272
0.247 0.495 0.728
0.230 0.017 0.292
0.000 0.500 0.000
0.500 0.500 0.000
0.000 0.000 0.000
0.000 0.000 0.500
```

Symmetry: C2/m
Energy relative to the elements, uncorrected (eV/atom): -0.686
D(E_F) (states/eV/cell): 12.129
Spin magnetization (μB/cell): 0.0


Li2Pa2GeN6 | PBE | optimized geometry

Geometry as POSCAR:
```
Li2Pa2GeN6
1.0
6.101 -0.361 0.307
-3.329 5.125 0.307
-0.779 -1.340 4.969
N Ge Pa Li
6 1 2 2
Direct
0.608 0.951 0.291
0.392 0.049 0.709
0.775 0.775 0.714
0.225 0.225 0.286
0.951 0.608 0.291
0.049 0.392 0.709
0.000 0.000 0.500
0.662 0.338 0.500
0.338 0.662 0.500
0.126 0.874 0.000
0.874 0.126 0.000
```

Symmetry: C2/m
Energy relative to the elements, uncorrected (eV/atom): -0.520
D(E_F) (states/eV/cell): 5.043
Spin magnetization (μB/cell): 0.0


LiPaGeN3 | PBE | optimized geometry

Geometry as POSCAR:
```
LiPaGeN3
1.0
3.268 0.000 0.000
0.000 6.321 -0.947
0.000 -3.647 7.947
N Li Pa Ge
6 2 2 2
Direct
0.750 0.326 0.479
0.750 0.951 0.101
0.250 0.674 0.521
0.250 0.049 0.899
0.750 0.511 0.193
0.250 0.489 0.807
0.750 0.312 0.903
0.250 0.688 0.097
0.750 0.754 0.796
0.250 0.246 0.204
0.750 0.771 0.442
0.250 0.229 0.558
```

Symmetry: P2_1/m
Energy relative to the elements, uncorrected (eV/atom): -0.669
D(E_F) (states/eV/cell): 2.034
Spin magnetization (μB/cell): 0.0


Li3Pa2GeN6 | PBE | optimized geometry

Geometry as POSCAR:
```
Li3Pa2GeN6
1.0
-2.247 -5.405 -1.240
5.182 1.000 2.818
-3.135 0.985 4.186
Pa Li N Ge
2 3 6 1
Direct
0.665 0.335 0.000
0.335 0.665 0.000
0.500 0.500 0.500
0.128 0.872 0.500
0.872 0.128 0.500
0.761 0.761 0.222
0.069 0.386 0.217
0.386 0.069 0.217
0.614 0.931 0.783
0.239 0.239 0.778
0.931 0.614 0.783
0.000 0.000 0.000
```

Symmetry: C2/m
Energy relative to the elements, uncorrected (eV/atom): -0.693
D(E_F) (states/eV/cell): 5.635
Spin magnetization (μB/cell): 0.0


LiPa2GeN5 | PBE | optimized geometry

Geometry as POSCAR:
```
LiPa2GeN5
1.0
3.375 0.000 0.000
-1.687 6.762 0.000
0.000 0.000 9.497
Li N Pa Ge
2 10 4 2
Direct
0.215 0.430 0.996
0.785 0.570 0.496
0.682 0.364 0.850
0.318 0.636 0.350
0.950 0.901 0.556
0.639 0.278 0.523
0.705 0.410 0.180
0.050 0.099 0.056
0.361 0.722 0.023
0.295 0.590 0.680
0.489 0.978 0.789
0.511 0.022 0.289
0.865 0.730 0.792
0.873 0.746 0.180
0.127 0.254 0.680
0.135 0.270 0.292
0.440 0.881 0.459
0.560 0.119 0.959
```

Symmetry: Cmc2_1
Energy relative to the elements, uncorrected (eV/atom): -0.992
Spin magnetization (μB/cell): 0.0


LiPa4GeN8 | PBE | optimized geometry

Geometry as POSCAR:
```
LiPa4GeN8
1.0
-4.868 3.876 -3.398
-6.833 -1.874 0.256
-4.474 3.276 2.751
N Ge Pa Li
8 1 4 1
Direct
0.299 0.299 0.677
0.299 0.725 0.677
0.769 0.211 0.251
0.725 0.299 0.677
0.750 0.750 0.750
0.247 0.247 0.259
0.211 0.769 0.251
0.769 0.769 0.251
0.379 0.379 0.863
0.582 0.582 0.255
0.993 0.497 0.518
0.497 0.993 0.518
0.993 0.993 0.518
0.987 0.987 0.038
```

Symmetry: R3m
Energy relative to the elements, uncorrected (eV/atom): -1.181
D(E_F) (states/eV/cell): 1.522
Spin magnetization (μB/cell): 1.0


LiPrGeN2 | PBE | optimized geometry

Geometry as POSCAR:
```
LiPrGeN2
1.0
-3.395 -0.709 2.010
-2.402 -1.988 -4.760
2.396 -5.659 2.051
N Li Ge Pr
4 2 2 2
Direct
0.295 0.263 0.063
0.295 0.737 0.437
0.705 0.263 0.563
0.705 0.737 0.937
0.516 0.000 0.750
0.484 0.000 0.250
0.000 0.000 0.000
0.000 0.000 0.500
0.246 0.500 0.750
0.754 0.500 0.250
```

Symmetry: P2/c
Energy relative to the elements, uncorrected (eV/atom): -0.287
D(E_F) (states/eV/cell): 4.323
Spin magnetization (μB/cell): 0.0


Li2PrGeN | PBE | optimized geometry

Geometry as POSCAR:
```
Li2PrGeN
1.0
-1.585 1.299 -2.798
5.952 -3.130 -2.674
-3.528 -6.027 -0.799
Li Pr Ge N
4 2 2 2
Direct
0.863 0.726 0.437
0.863 0.726 0.063
0.137 0.274 0.563
0.137 0.274 0.937
0.540 0.081 0.250
0.460 0.919 0.750
0.249 0.497 0.250
0.751 0.503 0.750
0.000 0.000 0.000
0.000 0.000 0.500
```

Symmetry: Cmcm
Energy relative to the elements, uncorrected (eV/atom): -0.591
D(E_F) (states/eV/cell): 1.247
Spin magnetization (μB/cell): 0.0


Li2GePtN | PBE | optimized geometry

Geometry as POSCAR:
```
Li2GePtN
1.0
5.166 0.000 0.000
0.000 4.537 0.000
0.000 0.000 5.166
Li N Pt Ge
2 1 1 1
Direct
0.000 0.000 0.500
0.500 0.000 0.000
0.500 0.500 0.500
0.000 0.500 0.000
0.000 0.000 0.000
```

Symmetry: P4/mmm
Energy relative to the elements, uncorrected (eV/atom): 0.992
D(E_F) (states/eV/cell): 3.016
Spin magnetization (μB/cell): 2.1


| no. | uncorrected energy (eV/cell) |
| --- | --- |
| 1 | -26.9 |
| 2 | -24.3 |
| 3 | -22.0 |
| 4 | -115.7 |
| 5 | -83.1 |
| 6 | -90.0 |
| 7 | -87.6 |
| 8 | -152.2 |
| 9 | -127.7 |
| 10 | -58.8 |
| 11 | -49.0 |
| 12 | -17.9 |